(1)
The following is a PBE calculation of a relaxed YMo crystal, from the Alexandria database.

Calculated values
As for the calculated density: 7.0 g/cm³. The electronic total energy is -32.0 eV per cell.

Unit cell a=4.970 b=4.970 c=3.526 alpha=90.00 beta=90.00 gamma=90.00
Fractional coordinates of all 4 atoms:
Mo: 0.750 0.750 0.500
Mo: 0.250 0.250 0.500
Y: 0.250 0.750 0.000
Y: 0.750 0.250 0.000

***

(2)
The following is a PBE calculation of a relaxed MgReNi2C crystal, from the Alexandria database.

Calculated values
As for the calculated density: 9.3 g/cm³. The electronic total energy is -34.5 eV per cell.

Unit cell a=3.877 b=3.877 c=4.040 alpha=90.00 beta=90.00 gamma=90.00
Fractional coordinates of all 5 atoms:
Ni: 0.500 0.000 0.000
Ni: 0.000 0.500 0.000
C: 0.000 0.000 0.000
Re: 0.000 0.000 0.500
Mg: 0.500 0.500 0.500

***

(3)
The following is a PBE calculation of a relaxed Cs2CuBI6 crystal, from the Alexandria database.

Calculated values
As for the calculated density: 4.5 g/cm³. The electronic total energy is -25.9 eV per cell.

Unit cell a=8.157 b=8.157 c=8.431 alpha=61.07 beta=61.07 gamma=90.00
Fractional coordinates of all 10 atoms:
I: 0.200 0.200 0.599
I: 0.800 0.800 0.401
I: 0.288 0.712 0.000
I: 0.712 0.288 0.000
I: 0.712 0.712 0.000
I: 0.288 0.288 0.000
Cu: 0.000 0.000 0.000
Cs: 0.750 0.250 0.500
Cs: 0.250 0.750 0.500
B: 0.500 0.500 0.000

***

(4)
The following is a PBE calculation of a relaxed BaNi2Sb crystal, from the Alexandria database.

Calculated values
As for the calculated density: 6.6 g/cm³. The electronic total energy is -19.1 eV per cell.

Unit cell a=4.284 b=4.284 c=6.444 alpha=70.46 beta=70.46 gamma=59.99
Fractional coordinates of all 4 atoms:
Sb: 0.447 0.447 0.658
Ni: 0.060 0.060 0.819
Ni: 0.734 0.734 0.797
Ba: 0.259 0.259 0.227

***

(5)
The following is a PBE calculation of a relaxed KCo2Ni crystal, from the Alexandria database.

Calculated values
As for the calculated density: 6.0 g/cm³. The electronic total energy is -16.7 eV per cell.

Unit cell a=2.556 b=4.894 c=5.692 alpha=57.25 beta=90.00 gamma=90.00
Fractional coordinates of all 4 atoms:
K: 0.500 0.500 0.500
Co: 0.000 0.000 0.000
Co: 0.500 0.500 0.000
Ni: 0.000 0.000 0.500

***

(6)
The following is a PBE calculation of a relaxed CsSi2Mo crystal, from the Alexandria database.

Calculated values
As for the calculated density: 3.3 g/cm³. The electronic total energy is -41.5 eV per cell.

Unit cell a=6.576 b=6.576 c=8.179 alpha=66.30 beta=66.30 gamma=90.00
Fractional coordinates of all 8 atoms:
Si: 0.375 0.625 0.250
Si: 0.375 0.625 0.750
Si: 0.375 0.125 0.250
Si: 0.875 0.625 0.750
Mo: 0.250 0.750 0.500
Mo: 0.500 0.500 0.000
Cs: 0.000 0.000 0.000
Cs: 0.750 0.250 0.500

***

(7)
The following is a PBE calculation of a relaxed Re2IrRu crystal, from the Alexandria database.

Calculated values
As for the calculated density: 19.0 g/cm³. The electronic total energy is -43.4 eV per cell.

Unit cell a=4.747 b=4.747 c=2.737 alpha=90.00 beta=90.00 gamma=109.64
Fractional coordinates of all 4 atoms:
Re: 0.000 0.000 0.000
Re: 0.500 0.500 0.000
Ru: 0.500 0.000 0.500
Ir: 0.000 0.500 0.500

***

(8)
The following is a PBE calculation of a relaxed TaCr4Pd crystal, from the Alexandria database.

Calculated values
As for the calculated density: 10.2 g/cm³. The electronic total energy is -55.2 eV per cell.

Unit cell a=4.844 b=4.844 c=4.844 alpha=60.00 beta=60.00 gamma=60.00
Fractional coordinates of all 6 atoms:
Cr: 0.130 0.623 0.623
Cr: 0.623 0.623 0.623
Cr: 0.623 0.623 0.130
Cr: 0.623 0.130 0.623
Ta: 0.250 0.250 0.250
Pd: 0.000 0.000 0.000

***

(9)
The following is a PBE calculation of a relaxed Li3Er3CrS8 crystal, from the Alexandria database.

Calculated values
As for the calculated density: 4.5 g/cm³. The electronic total energy is -85.1 eV per cell.

Unit cell a=7.576 b=7.576 c=7.542 alpha=120.16 beta=90.00 gamma=120.00
Fractional coordinates of all 15 atoms:
Li: 0.000 0.500 0.000
Li: 0.500 0.500 0.000
Li: 0.000 0.000 0.000
S: 0.224 0.996 0.267
S: 0.229 0.004 0.733
S: 0.229 0.457 0.733
S: 0.751 0.502 0.753
S: 0.776 0.004 0.733
S: 0.249 0.498 0.247
S: 0.771 0.996 0.267
S: 0.771 0.543 0.267
Er: 0.000 0.500 0.500
Er: 0.500 0.000 0.500
Er: 0.500 0.500 0.500
Cr: 0.000 0.000 0.500

***

(10)
The following is a PBE calculation of a relaxed LaAl2CuAu4 crystal, from the Alexandria database.

Calculated values
As for the calculated density: 11.2 g/cm³. The electronic total energy is -33.7 eV per cell.

Unit cell a=4.436 b=4.436 c=9.464 alpha=76.45 beta=76.45 gamma=60.00
Fractional coordinates of all 8 atoms:
Au: 0.866 0.866 0.401
Au: 0.599 0.599 0.203
Au: 0.134 0.134 0.599
Au: 0.401 0.401 0.797
La: 0.000 0.000 0.000
Cu: 0.500 0.500 0.500
Al: 0.765 0.765 0.706
Al: 0.235 0.235 0.294

***

(11)
The following is a PBE calculation of a relaxed NaMnGe2Pt crystal, from the Alexandria database.

Calculated values
As for the calculated density: 7.6 g/cm³. The electronic total energy is -27.2 eV per cell.

Unit cell a=4.092 b=4.092 c=6.151 alpha=109.43 beta=109.43 gamma=90.00
Fractional coordinates of all 5 atoms:
Pt: 0.250 0.750 0.500
Mn: 0.750 0.250 0.500
Ge: 0.382 0.382 0.764
Ge: 0.618 0.618 0.236
Na: 0.000 0.000 0.000

***

(12)
The following is a PBE calculation of a relaxed Zr2NiHg crystal, from the Alexandria database.

Calculated values
As for the calculated density: 9.5 g/cm³. The electronic total energy is -23.6 eV per cell.

Unit cell a=4.975 b=4.975 c=3.273 alpha=90.05 beta=90.05 gamma=107.92
Fractional coordinates of all 4 atoms:
Ni: 0.000 0.500 0.500
Zr: 0.500 0.500 0.000
Zr: 0.000 0.000 0.000
Hg: 0.500 0.000 0.500